Ce3PmHo2S6 | PBE | relaxed

Unit cell a=6.874 b=11.913 c=6.934 alpha=90.00 beta=109.35 gamma=90.00
Space group C2/m (No. 12)
Inequivalent atoms, fractional coordinates:
Ce: 0.000 0.000 0.000 x2
Ce: 0.000 0.336 0.000 x4
Pm: 0.000 0.500 0.500 x2
Ho: 0.000 0.167 0.500 x4
S: 0.238 0.000 0.739 x4
S: 0.249 0.171 0.258 x8

Output
The calculation puts the total energy at -80.80 eV per formula unit. For the formation energy without anion corrections, the calculation gives -2.027 eV per atom. As for the total magnetic moment: 2.51 μB per formula unit.

***

PrNpRh4 | PBE | relaxed

Unit cell a=7.604 b=7.604 c=7.604 alpha=90.00 beta=90.00 gamma=90.00
Space group F-43m (No. 216)
Inequivalent atoms, fractional coordinates:
Pr: 0.000 0.000 0.000 x4
Np: 0.250 0.250 0.750 x4
Rh: 0.125 0.125 0.375 x16

Output
As for the energy of formation: -0.446 eV per atom. The calculation puts the total energy at -49.80 eV per formula unit. As for the total magnetic moment: 3.58 μB per formula unit.

***

KTa2Os | PBE | relaxed

Unit cell a=3.171 b=4.804 c=10.609 alpha=90.00 beta=90.00 gamma=90.00
Space group Cmm2 (No. 35)
Inequivalent atoms, fractional coordinates:
K: 0.000 0.000 0.000 x2
Ta: 0.000 0.000 0.539 x2
Ta: 0.000 0.500 0.317 x2
Os: 0.000 0.500 0.733 x2

Output
As for the energy of formation: 0.594 eV per atom. The calculation puts the total energy at -33.66 eV per formula unit. As for the total magnetic moment: 0.00 μB per formula unit.

***

PrThPa | PBE | relaxed

Unit cell a=3.4733 b=3.4733 c=8.6836 alpha=90.00 beta=90.00 gamma=120.00
Space group P3m1 (No. 156)
Inequivalent atoms, fractional coordinates:
Pr: 0.0000 0.0000 0.0000 x1
Th: 0.3333 0.6667 0.6472 x1
Pa: 0.6667 0.3333 0.3306 x1

Output
As for the energy of formation: 0.172 eV per atom. The calculation puts the total energy at -21.18 eV per formula unit. As for the total magnetic moment: 0.00 μB per formula unit.

***

NbCrS2N | PBE | relaxed

Unit cell a=4.679 b=4.679 c=3.512 alpha=90.00 beta=90.00 gamma=90.00
Space group P4/mmm (No. 123)
Inequivalent atoms, fractional coordinates:
Nb: 0.000 0.000 0.000 x1
Cr: 0.500 0.500 0.500 x1
S: 0.000 0.500 0.500 x2
N: 0.500 0.500 0.000 x1

Output
The calculation puts the total energy at -35.56 eV per formula unit. For the formation energy without anion corrections, the calculation gives 0.143 eV per atom. As for the total magnetic moment: 3.29 μB per formula unit.

***

La2Sm6DyEr3 | PBE | relaxed

Unit cell a=6.261 b=10.847 c=11.960 alpha=90.00 beta=100.07 gamma=90.00
Space group C2/m (No. 12)
Inequivalent atoms, fractional coordinates:
La: 0.000 0.167 0.000 x4
Sm: 0.247 0.500 0.744 x4
Sm: 0.249 0.166 0.745 x8
Dy: 0.000 0.500 0.000 x2
Er: 0.000 0.000 0.500 x2
Er: 0.000 0.334 0.500 x4

Output
As for the energy of formation: 0.022 eV per atom. The calculation puts the total energy at -56.19 eV per formula unit. As for the total magnetic moment: 0.01 μB per formula unit.

***

> total magnetic moment of number 2 (PrNpRh4)?

3.58 μB per formula unit

***

What did the fifth record say?
NbCrS2N | PBE | relaxed

Unit cell a=4.679 b=4.679 c=3.512 alpha=90.00 beta=90.00 gamma=90.00
Space group P4/mmm (No. 123)
Inequivalent atoms, fractional coordinates:
Nb: 0.000 0.000 0.000 x1
Cr: 0.500 0.500 0.500 x1
S: 0.000 0.500 0.500 x2
N: 0.500 0.500 0.000 x1

Output
The calculation puts the total energy at -35.56 eV per formula unit. For the formation energy without anion corrections, the calculation gives 0.143 eV per atom. As for the total magnetic moment: 3.29 μB per formula unit.

***

What did the fifth record say?
NbCrS2N | PBE | relaxed

Unit cell a=4.679 b=4.679 c=3.512 alpha=90.00 beta=90.00 gamma=90.00
Space group P4/mmm (No. 123)
Inequivalent atoms, fractional coordinates:
Nb: 0.000 0.000 0.000 x1
Cr: 0.500 0.500 0.500 x1
S: 0.000 0.500 0.500 x2
N: 0.500 0.500 0.000 x1

Output
The calculation puts the total energy at -35.56 eV per formula unit. For the formation energy without anion corrections, the calculation gives 0.143 eV per atom. As for the total magnetic moment: 3.29 μB per formula unit.